Entry from Alexandria: a geometry-optimized PmDy2Ti structure (PBE).

Output
Total magnetization (μB per atom): 0.480
Polymorph energy (0 for the lowest one) (meV/atom): 270
Calculated formation energy (eV per atom): 0.432
Symmetry: R-3m, No. 166

a = 11.9784 Å, b = 11.9784 Å, c = 11.9784 Å
α = 16.18°, β = 16.18°, γ = 16.18°
Fractional coordinates of all 4 atoms:
Pm1 0.0000 0.0000 0.0000
Dy1 0.4173 0.4173 0.4173
Dy2 0.5827 0.5827 0.5827
Ti1 0.5000 0.5000 0.5000

***

Entry from Alexandria: a geometry-optimized AlNiPb2 structure (PBE).

Output
Total magnetization (μB per atom): 0.000
Calculated formation energy (eV per atom): 0.441
Symmetry: I-42d, No. 122

a = 9.2412 Å, b = 9.2412 Å, c = 9.2412 Å
α = 150.01°, β = 150.01°, γ = 42.93°
Fractional coordinates of all 8 atoms:
Al1 0.0000 0.0000 0.0000
Al2 0.7500 0.2500 0.5000
Ni1 0.2500 0.7500 0.5000
Ni2 0.5000 0.5000 0.0000
Pb1 0.1591 0.6250 0.0341
Pb2 0.3750 0.4091 0.5341
Pb3 0.5909 0.1250 0.9659
Pb4 0.8750 0.8409 0.4659

***

Entry from Alexandria: a geometry-optimized GaTcNiMo structure (PBE).

Output
Total magnetization (μB per atom): 0.158
Calculated formation energy (eV per atom): -0.039
Symmetry: F-43m, No. 216

a = 4.3024 Å, b = 4.3024 Å, c = 4.3024 Å
α = 60.00°, β = 60.00°, γ = 60.00°
Fractional coordinates of all 4 atoms:
Ga1 0.0000 0.0000 0.0000
Tc1 0.2500 0.2500 0.2500
Ni1 0.7500 0.7500 0.7500
Mo1 0.5000 0.5000 0.5000

***

Q: The lowest total magnetization belongs to which entry?
A: AlNiPb2

***

Q: The lowest total magnetization belongs to which entry?
A: AlNiPb2

***

Q: What is the calculated formation energy in the first record?
A: 0.432 eV per atom